No. 1
A plane-wave DFT calculation with PBEsol was carried out for a relaxed Ti5As3 crystal.

Calculated values
energy of formation from the pure elements	-0.946	eV/atom

Unit cell a=9.6986 b=7.7025 c=6.6649 alpha=90.00 beta=90.00 gamma=90.00
Last column: nearest neighbours and their distance in Å.
Element x y z (fractional)
1 Ti 0.0024 0.2500 0.0275  5 As 2.58-2.62, 3 Ti 2.73-2.81
2 Ti 0.0599 0.0526 0.6977  4 As 2.48-2.76, 1 Ti 2.73
3 Ti 0.0599 0.4474 0.6977  4 As 2.48-2.76, 1 Ti 2.73
4 Ti 0.2103 0.7500 0.3391  5 As 2.47-2.75
5 Ti 0.2307 0.2500 0.3276  5 As 2.51-2.69, 1 Ti 2.81
6 Ti 0.2693 0.7500 0.8276  5 As 2.51-2.69, 1 Ti 2.81
7 Ti 0.2897 0.2500 0.8391  5 As 2.47-2.75
8 Ti 0.4401 0.5526 0.1977  4 As 2.48-2.76, 1 Ti 2.73
9 Ti 0.4401 0.9474 0.1977  4 As 2.48-2.76, 1 Ti 2.73
10 Ti 0.4976 0.7500 0.5275  5 As 2.58-2.62, 3 Ti 2.73-2.81
11 Ti 0.5024 0.2500 0.4725  5 As 2.58-2.62, 3 Ti 2.73-2.81
12 Ti 0.5599 0.0526 0.8023  4 As 2.48-2.76, 1 Ti 2.73
13 Ti 0.5599 0.4474 0.8023  4 As 2.48-2.76, 1 Ti 2.73
14 Ti 0.7103 0.7500 0.1609  5 As 2.47-2.75
15 Ti 0.7307 0.2500 0.1724  5 As 2.51-2.69, 1 Ti 2.81
16 Ti 0.7693 0.7500 0.6724  5 As 2.51-2.69, 1 Ti 2.81
17 Ti 0.7897 0.2500 0.6609  5 As 2.47-2.75
18 Ti 0.9401 0.5526 0.3023  4 As 2.48-2.76, 1 Ti 2.73
19 Ti 0.9401 0.9474 0.3023  4 As 2.48-2.76, 1 Ti 2.73
20 Ti 0.9976 0.7500 0.9725  5 As 2.58-2.62, 3 Ti 2.73-2.81
21 As 0.0207 0.7500 0.5862  7 Ti 2.47-2.58
22 As 0.1753 0.5092 0.0700  9 Ti 2.60-2.78
23 As 0.1753 0.9908 0.0700  9 Ti 2.60-2.78
24 As 0.3247 0.0092 0.5700  9 Ti 2.60-2.78
25 As 0.3247 0.4908 0.5700  9 Ti 2.60-2.78
26 As 0.4793 0.2500 0.0862  7 Ti 2.47-2.58
27 As 0.5207 0.7500 0.9138  7 Ti 2.47-2.58
28 As 0.6753 0.5092 0.4300  9 Ti 2.60-2.78
29 As 0.6753 0.9908 0.4300  9 Ti 2.60-2.78
30 As 0.8247 0.0092 0.9300  9 Ti 2.60-2.78
31 As 0.8247 0.4908 0.9300  9 Ti 2.60-2.78
32 As 0.9793 0.2500 0.4138  7 Ti 2.47-2.58


No. 2
A plane-wave DFT calculation with PBEsol was carried out for a relaxed CoRuAu2 crystal.

Calculated values
energy of formation from the pure elements	0.432	eV/atom

Unit cell a=4.8038 b=4.8038 c=4.8038 alpha=132.92 beta=132.92 gamma=68.78
Last column: nearest neighbours and their distance in Å.
Element x y z (fractional)
1 Co 0.0000 0.0000 0.0000  4 Ru 2.71, 8 Au 2.76
2 Ru 0.5000 0.5000 0.0000  4 Co 2.71, 8 Au 2.76
3 Au 0.2500 0.7500 0.5000  4 Au 2.71, 4 Co 2.76, 4 Ru 2.76
4 Au 0.7500 0.2500 0.5000  4 Au 2.71, 4 Co 2.76, 4 Ru 2.76


No. 3
A plane-wave DFT calculation with PBEsol was carried out for a relaxed Sc2SbRu crystal.

Calculated values
uncorrected formation energy	-0.547	eV/atom

Unit cell a=4.9820 b=4.9820 c=4.9820 alpha=128.70 beta=128.70 gamma=75.49
Last column: nearest neighbours and their distance in Å.
Element x y z (fractional)
1 Sc 0.2500 0.7500 0.5000  4 Ru 2.92, 4 Sb 2.92, 4 Sc 3.05
2 Sc 0.7500 0.2500 0.5000  4 Ru 2.92, 4 Sb 2.92, 4 Sc 3.05
3 Sb 0.0000 0.0000 0.0000  8 Sc 2.92, 4 Ru 3.05
4 Ru 0.5000 0.5000 0.0000  8 Sc 2.92, 4 Sb 3.05


No. 4
A plane-wave DFT calculation with PBEsol was carried out for a relaxed K2SnRhCl crystal.

Calculated values
uncorrected formation energy	0.031	eV/atom

Unit cell a=5.7079 b=5.7079 c=4.4643 alpha=90.00 beta=90.00 gamma=90.00
Last column: nearest neighbours and their distance in Å.
Element x y z (fractional)
1 K 0.0000 0.5000 0.0000  2 Cl 2.85
2 K 0.5000 0.0000 0.0000  2 Cl 2.85
3 Sn 0.0000 0.0000 0.5000  8 K 3.62, 4 Rh 4.04
4 Rh 0.5000 0.5000 0.5000  2 Cl 2.23
5 Cl 0.5000 0.5000 0.0000  2 Rh 2.23


No. 5
A plane-wave DFT calculation with PBEsol was carried out for a relaxed FeTe2AuI crystal.

Calculated values
uncorrected formation energy	0.467	eV/atom

Unit cell a=4.9946 b=4.9946 c=4.9366 alpha=90.00 beta=90.00 gamma=90.00
Last column: nearest neighbours and their distance in Å.
Element x y z (fractional)
1 Fe 0.0000 0.0000 0.0000  2 Au 2.47, 4 Te 2.50
2 Te 0.0000 0.5000 0.0000  2 Fe 2.50
3 Te 0.5000 0.0000 0.0000  2 Fe 2.50
4 Au 0.0000 0.0000 0.5000  2 Fe 2.47
5 I 0.5000 0.5000 0.5000  8 Te 3.51, 4 Au 3.53


No. 6
A plane-wave DFT calculation with PBEsol was carried out for a relaxed TaCd2Si crystal.

Calculated values
uncorrected formation energy	0.333	eV/atom

Unit cell a=5.6936 b=5.6936 c=5.6936 alpha=149.64 beta=127.54 gamma=61.82
Last column: nearest neighbours and their distance in Å.
Element x y z (fractional)
1 Ta 0.0000 0.0000 0.0000  2 Si 2.59
2 Cd 0.2645 0.7645 0.5000  4 Si 2.93, 4 Cd 2.98-2.99, 2 Ta 2.98
3 Cd 0.5303 0.5303 0.0000  2 Si 2.88, 4 Ta 2.94, 4 Cd 2.98-2.99
4 Si 0.7831 0.2831 0.5000  2 Ta 2.59, 2 Cd 2.88


DOS(E_F), respectively: 5.678; 4.418; 3.341; 5.308; 4.989; 2.146 states/eV/f.u..
Electronic total energy, respectively: -8.063; -6.007; -7.532; -3.303; -3.874; -4.840 eV per atom.